[1]
Entry from the Alexandria database: CsCa2CrF8 after structural relaxation (PBE+U).

a = 5.4786 Å, b = 5.1199 Å, c = 7.4361 Å
α = 90.18°, β = 77.73°, γ = 103.10°
Closest atoms and distances in Å follow each position.
Element x y z (fractional)
F 0.3175 0.5995 0.4721  2 Ca 2.22-2.32
F 0.7155 0.7368 0.9252  1 Cr 1.99
F 0.2845 0.2632 0.0748  1 Cr 1.99
F 0.0114 0.7102 0.1596  1 Cr 1.92
F 0.9886 0.2898 0.8404  1 Cr 1.92
F 0.6825 0.4005 0.5279  2 Ca 2.22-2.32
F 0.7327 0.0829 0.1941  1 Cr 1.95
F 0.2673 0.9171 0.8059  1 Cr 1.95
Ca 0.5940 0.4740 0.2436  5 F 2.22-2.38
Ca 0.4060 0.5260 0.7564  5 F 2.22-2.38
Cr 0.0000 0.0000 0.0000  6 F 1.92-1.99
Cs 0.0000 0.0000 0.5000  8 F 2.93-3.15

Properties
VASP energy: -66.7 eV for the cell shown
ρ: 3.49 g cm⁻³

[2]
Entry from the Alexandria database: CsCaCrF6 after structural relaxation (PBE+U).

a = 7.9454 Å, b = 7.7085 Å, c = 7.7388 Å
α = 119.88°, β = 120.94°, γ = 90.00°
Closest atoms and distances in Å follow each position.
Element x y z (fractional)
F 0.1536 0.9039 0.3078  2 Ca 2.24
F 0.5309 0.2834 0.0667  2 Cr 1.96
F 0.5494 0.9013 0.7516  1 Cr 1.94
F 0.7978 0.1027 0.2524  1 Cr 1.94
F 0.4691 0.7166 0.9333  2 Cr 1.96
F 0.8464 0.0961 0.6922  2 Ca 2.24
F 0.4506 0.6497 0.2484  1 Cr 1.94
F 0.4506 0.0987 0.2484  1 Cr 1.94
F 0.2023 0.3503 0.7477  1 Cr 1.94
F 0.2022 0.8973 0.7476  1 Cr 1.94
F 0.7977 0.6497 0.2523  1 Cr 1.94
F 0.5494 0.3503 0.7516  1 Cr 1.94
Cr 0.5000 0.0000 0.0000  6 F 1.94-1.96
Cr 0.5000 0.5000 0.0000  6 F 1.94-1.96
Ca 0.0000 0.0000 0.5000  6 F 2.24-2.29
Ca 0.5000 0.0000 0.5000  6 F 2.24-2.28
Cs 0.8666 0.6154 0.7309  5 F 3.12-3.36
Cs 0.1334 0.3846 0.2691  5 F 3.12-3.36

Properties
VASP energy: -100.9 eV for the cell shown
ρ: 3.40 g cm⁻³

> Which value of ρ does entry 2 give?

3.40 g cm⁻³

> Which of these has the lowest VASP energy?

CsCaCrF6

> Which of these has the highest ρ?

CsCa2CrF8

> Which of these has the lowest ρ?

CsCaCrF6